Entry 1:
Computed, not measured: crystalline BaFeRh at its relaxed geometry at the PBE level of DFT.

a = 4.747 Å, b = 4.747 Å, c = 4.747 Å
α = 60.00°, β = 60.00°, γ = 60.00°
Fractional coordinates of all 3 atoms:
Ba1 0.000 0.000 0.000
Fe1 0.750 0.750 0.750
Rh1 0.250 0.250 0.250

Calculated values
- distance to the lowest polymorph of the same formula (kJ/mol of atoms) = 112.8
- ΔH_f (0 K) (meV per atom) = 1345
- energy (eV per cell) = -13.70


Entry 2:
Computed, not measured: crystalline K3Rb2O4 at its relaxed geometry at the PBE level of DFT.

a = 4.981 Å, b = 4.981 Å, c = 11.259 Å
α = 96.80°, β = 96.80°, γ = 47.49°
Fractional coordinates of all 9 atoms:
K1 0.000 0.000 0.000
K2 0.374 0.374 0.602
K3 0.626 0.626 0.398
Rb1 0.324 0.324 0.198
Rb2 0.676 0.676 0.802
O1 0.064 0.064 0.548
O2 0.377 0.377 0.846
O3 0.623 0.623 0.154
O4 0.936 0.936 0.452

Calculated values
- uncorrected formation energy (kJ/mol of formula units) = -812.1
- energy (eV per cell) = -33.48


Entry 3:
Computed, not measured: crystalline BaLa2PmIn4 at its relaxed geometry at the PBE level of DFT.

a = 9.827 Å, b = 9.827 Å, c = 9.827 Å
α = 33.39°, β = 33.39°, γ = 33.39°
Fractional coordinates of all 8 atoms:
Ba1 0.000 0.000 0.000
La1 0.252 0.252 0.252
La2 0.748 0.748 0.748
Pm1 0.500 0.500 0.500
In1 0.129 0.129 0.129
In2 0.381 0.381 0.381
In3 0.619 0.619 0.619
In4 0.871 0.871 0.871

Calculated values
- ΔH_f (0 K) (meV per atom) = -428
- energy (eV per cell) = -30.90


Entry 4:
Computed, not measured: crystalline Ga2BiTe3 at its relaxed geometry at the PBE level of DFT.

a = 8.164 Å, b = 4.229 Å, c = 12.791 Å
α = 90.00°, β = 93.47°, γ = 90.00°
Fractional coordinates of all 12 atoms:
Ga1 0.044 0.250 0.080
Ga2 0.451 0.750 0.602
Ga3 0.549 0.250 0.398
Ga4 0.956 0.750 0.920
Bi1 0.293 0.250 0.896
Bi2 0.707 0.750 0.104
Te1 0.201 0.750 0.725
Te2 0.313 0.750 0.091
Te3 0.340 0.750 0.395
Te4 0.660 0.250 0.605
Te5 0.687 0.250 0.909
Te6 0.799 0.250 0.275

Calculated values
- uncorrected formation energy (kJ/mol of formula units) = -88.3
- energy (eV per cell) = -40.55


Entry 5:
Computed, not measured: crystalline Ce2Ga4Os at its relaxed geometry at the PBE level of DFT.

a = 10.208 Å, b = 10.208 Å, c = 3.120 Å
α = 90.00°, β = 90.00°, γ = 154.53°
Fractional coordinates of all 7 atoms:
Ce1 0.211 0.789 0.000
Ce2 0.789 0.211 0.000
Ga1 0.067 0.933 0.500
Ga2 0.396 0.604 0.000
Ga3 0.604 0.396 0.000
Ga4 0.933 0.067 0.500
Os1 0.500 0.500 0.500

Calculated values
- ΔH_f (0 K) (meV per atom) = 42
- energy (eV per cell) = -34.91


Entry 6:
Computed, not measured: crystalline MnTl4Ag at its relaxed geometry at the PBE level of DFT.

a = 6.274 Å, b = 6.274 Å, c = 6.274 Å
α = 60.00°, β = 60.00°, γ = 60.00°
Fractional coordinates of all 6 atoms:
Mn1 0.000 0.000 0.000
Tl1 0.125 0.625 0.625
Tl2 0.625 0.125 0.625
Tl3 0.625 0.625 0.125
Tl4 0.625 0.625 0.625
Ag1 0.250 0.250 0.250

Calculated values
- ΔH_f (0 K) (meV per atom) = 602
- energy (eV per cell) = -17.87


Entry 7:
Computed, not measured: crystalline AsC2 at its relaxed geometry at the PBE level of DFT.

a = 5.954 Å, b = 5.954 Å, c = 3.922 Å
α = 90.00°, β = 90.00°, γ = 120.00°
Fractional coordinates of all 9 atoms:
As1 0.000 0.000 0.000
As2 0.333 0.667 0.500
As3 0.667 0.333 0.500
C1 0.000 0.226 0.404
C2 0.000 0.774 0.596
C3 0.226 0.000 0.404
C4 0.226 0.226 0.596
C5 0.774 0.000 0.596
C6 0.774 0.774 0.404

Calculated values
- distance to the lowest polymorph of the same formula (kJ/mol of atoms) = 136.0
- ΔH_f (0 K) (meV per atom) = 1761
- energy (eV per cell) = -53.45


Entry 8:
Computed, not measured: crystalline Mg5SnPd2 at its relaxed geometry at the PBE level of DFT.

a = 6.441 Å, b = 6.441 Å, c = 6.441 Å
α = 138.97°, β = 98.85°, γ = 95.27°
Fractional coordinates of all 8 atoms:
Mg1 0.000 0.000 0.000
Mg2 0.005 0.678 0.327
Mg3 0.351 0.678 0.673
Mg4 0.649 0.322 0.327
Mg5 0.995 0.322 0.673
Sn1 0.500 0.000 0.500
Pd1 0.311 0.311 0.000
Pd2 0.689 0.689 0.000

Calculated values
- ΔH_f (0 K) (meV per atom) = -332
- energy (eV per cell) = -25.02


Entry 9:
Computed, not measured: crystalline Li2ReNi at its relaxed geometry at the PBE level of DFT.

a = 2.538 Å, b = 3.915 Å, c = 5.419 Å
α = 90.00°, β = 90.00°, γ = 90.00°
Fractional coordinates of all 4 atoms:
Li1 0.000 0.000 0.000
Li2 0.500 0.500 0.222
Re1 0.500 0.500 0.696
Ni1 0.000 0.000 0.525

Calculated values
- distance to the lowest polymorph of the same formula (kJ/mol of atoms) = 3.1
- ΔH_f (0 K) (meV per atom) = 142
- energy (eV per cell) = -21.49


Entry 10:
Computed, not measured: crystalline Mn2ReW2 at its relaxed geometry at the PBE level of DFT.

a = 6.926 Å, b = 6.926 Å, c = 2.912 Å
α = 90.00°, β = 90.00°, γ = 90.00°
Fractional coordinates of all 10 atoms:
Mn1 0.132 0.368 0.000
Mn2 0.368 0.868 0.000
Mn3 0.632 0.132 0.000
Mn4 0.868 0.632 0.000
Re1 0.000 0.000 0.000
Re2 0.500 0.500 0.000
W1 0.170 0.670 0.500
W2 0.330 0.170 0.500
W3 0.670 0.830 0.500
W4 0.830 0.330 0.500

Calculated values
- ΔH_f (0 K) (meV per atom) = 300
- energy (eV per cell) = -110.38


Entry 11:
Computed, not measured: crystalline Sb2Au at its relaxed geometry at the PBE level of DFT.

a = 6.350 Å, b = 6.350 Å, c = 6.350 Å
α = 149.79°, β = 142.39°, γ = 48.97°
Fractional coordinates of all 3 atoms:
Sb1 0.129 0.129 0.000
Sb2 0.871 0.871 0.000
Au1 0.500 0.500 0.000

Calculated values
- uncorrected formation energy (kJ/mol of formula units) = 44.5
- energy (eV per cell) = -11.06


Entry 12:
Computed, not measured: crystalline KLaInSe3 at its relaxed geometry at the PBE level of DFT.

a = 8.845 Å, b = 4.848 Å, c = 10.118 Å
α = 90.00°, β = 104.11°, γ = 90.00°
Fractional coordinates of all 12 atoms:
K1 0.204 0.250 0.221
K2 0.796 0.750 0.779
La1 0.328 0.750 0.860
La2 0.672 0.250 0.140
In1 0.116 0.250 0.592
In2 0.884 0.750 0.408
Se1 0.102 0.250 0.856
Se2 0.220 0.750 0.534
Se3 0.462 0.750 0.155
Se4 0.538 0.250 0.845
Se5 0.780 0.250 0.466
Se6 0.898 0.750 0.144

Calculated values
- uncorrected formation energy (kJ/mol of formula units) = -718.2
- energy (eV per cell) = -53.32